The following is a PBE+U calculation of a relaxed structure of CaCrAsO6, from Alexandria via LeMat-Bulk.

CIF file:
```
data_CaCrAsO6
_chemical_formula_sum 'Ca2 Cr2 As2 O12'
_space_group_name_H-M_alt 'P 42 n m'
_space_group_IT_number 102
_cell_length_a 4.797
_cell_length_b 4.797
_cell_length_c 9.635
_cell_angle_alpha 90.00
_cell_angle_beta 90.00
_cell_angle_gamma 90.00
loop_
_space_group_symop_operation_xyz
'x,y,z'
'-y+1/2,x+1/2,z+1/2'
'-x,-y,z'
'y+1/2,-x+1/2,z+1/2'
'-x+1/2,y+1/2,z+1/2'
'y,x,z'
'x+1/2,-y+1/2,z+1/2'
'-y,-x,z'
loop_
_atom_site_label
_atom_site_fract_x
_atom_site_fract_y
_atom_site_fract_z
Ca1 0.000 0.000 0.000
Cr1 0.000 0.000 0.651
As1 0.000 0.000 0.358
O1 0.175 0.175 0.503
O2 0.245 0.755 0.695
O3 0.248 0.752 0.319
```

Summary:
Calculated total energy ... -6.398 eV per atom
V ... 221.7 Å³ per cell